Crystalline Rb2AlZnF6 at its relaxed geometry, computed with GGA-PBE.

Results
**Space-group type**: Fm-3m
**Calculated total energy**: -45.88 eV/cell

Unit cell a=6.0730 b=6.0730 c=6.0761 alpha=60.02 beta=60.02 gamma=90.00
Each line ends with the local moment (μB).
Element x y z (fractional)
1 Zn 0.0000 0.0000 0.0000  0.42
2 Al 0.5000 0.5000 0.0000  0.01
3 Rb 0.7500 0.2500 0.5000  0.01
4 Rb 0.2500 0.7500 0.5000  0.01
5 F 0.2848 0.2848 0.4304  0.03
6 F 0.7152 0.7152 0.5696  0.03
7 F 0.2845 0.2845 0.0000  0.03
8 F 0.7155 0.7155 0.0000  0.03
9 F 0.7155 0.2845 0.0000  0.03
10 F 0.2845 0.7155 0.0000  0.03